No. 1
Ac8P3PdI4: relaxed, PBE-GGA.

The total energy is -4.971 eV per atom. The total magnetization is 0.000 μB per atom. The value obtained for the volume is 1695.6 Å³/cell. The density comes out at 7.41 g/cm3.

The space group is R-3m (No. 166, hexagonal axes) and the conventional cell measures 8.9571, 8.9571 and 24.4036 Å, with angles of 90.00, 90.00 and 120.00 degrees. The distinct sites, in fractional coordinates, are Ac at (0.0000, 0.0000, 0.2321), Ac at (0.0012, 0.5006, 0.7677), P at (0.0000, 0.5000, 0.5000), Pd at (0.0000, 0.0000, 0.5000), I at (0.0000, 0.0000, 0.0000) and I at (0.0000, 0.5000, 0.0000).



No. 2
RbS2N: relaxed, PBE-GGA.

The total energy is -4.035 eV per atom. The total magnetization is 0.104 μB per atom. The value obtained for the volume is 354.0 Å³/cell. The density comes out at 3.07 g/cm3.

The space group is I4_1/amd (No. 141, origin choice 2) and the conventional cell measures 5.5581, 5.5581 and 11.4604 Å, with angles of 90.00, 90.00 and 90.00 degrees. The distinct sites, in fractional coordinates, are Rb at (0.0000, 0.2500, 0.3750), S at (0.0000, 0.0000, 0.0000) and N at (0.0000, 0.2500, 0.8750).



No. 3
Ba3H2F8: relaxed, PBE-GGA.

The total energy is -5.115 eV per atom. The total magnetization is 0.000 μB per atom. The value obtained for the volume is 584.3 Å³/cell. The density comes out at 4.83 g/cm3.

The space group is R-3m (No. 166, hexagonal axes) and the conventional cell measures 5.6875, 5.6875 and 20.8590 Å, with angles of 90.00, 90.00 and 120.00 degrees. The distinct sites, in fractional coordinates, are Ba at (0.0000, 0.0000, 0.0000), Ba at (0.0000, 0.0000, 0.2056), H at (0.0000, 0.0000, 0.3865), F at (0.0000, 0.0000, 0.3389) and F at (0.0073, 0.5036, 0.7683).



No. 4
Sr2CoTeIr: relaxed, PBE-GGA.

The total energy is -4.261 eV per atom. The total magnetization is 0.377 μB per atom. The value obtained for the volume is 171.6 Å³/cell. The density comes out at 5.36 g/cm3.

The space group is P4/mmm (No. 123) and the conventional cell measures 5.8912, 5.8912 and 4.9439 Å, with angles of 90.00, 90.00 and 90.00 degrees. The distinct sites, in fractional coordinates, are Sr at (0.0000, 0.5000, 0.0000), Co at (0.0000, 0.0000, 0.5000), Te at (0.5000, 0.5000, 0.5000) and Ir at (0.5000, 0.5000, 0.0000).



No. 5
Pr6TmTl3: relaxed, PBE-GGA.

The total energy is -4.127 eV per atom. The total magnetization is 0.000 μB per atom. The value obtained for the volume is 1374.8 Å³/cell. The energy relative to the elements is -0.102 eV/atom. The density comes out at 7.86 g/cm3.

The space group is Cmc2_1 (No. 36) and the conventional cell measures 10.8880, 16.0918 and 7.8469 Å, with angles of 90.00, 90.00 and 90.00 degrees. The distinct sites, in fractional coordinates, are Pr at (0.0000, 0.0416, 0.0000), Pr at (0.0000, 0.2967, 0.8876), Pr at (0.2238, 0.3128, 0.5132), Pr at (0.2323, 0.4643, 0.8288), Tm at (0.0000, 0.1823, 0.3111), Tl at (0.0000, 0.4503, 0.5502) and Tl at (0.1460, 0.1353, 0.6569).



No. 6
PrYTmLu: relaxed, PBE-GGA.

The total energy is -4.960 eV per atom. The total magnetization is 0.000 μB per atom. The value obtained for the volume is 516.1 Å³/cell. The energy relative to the elements is 0.099 eV/atom. The density comes out at 7.38 g/cm3.

The space group is F-43m (No. 216) and the conventional cell measures 8.0211, 8.0211 and 8.0211 Å, with angles of 90.00, 90.00 and 90.00 degrees. The distinct sites, in fractional coordinates, are Pr at (0.0000, 0.0000, 0.0000), Y at (0.0000, 0.0000, 0.5000), Tm at (0.2500, 0.2500, 0.2500) and Lu at (0.2500, 0.2500, 0.7500).



No. 7
K2LaUSe6: relaxed, PBE-GGA.

The total energy is -5.155 eV per atom. The total magnetization is 0.000 μB per atom. The value obtained for the volume is 682.8 Å³/cell. The density comes out at 4.52 g/cm3.

The space group is P2_1/c (No. 14) and the conventional cell measures 7.7530, 7.9014 and 13.5414 Å, with angles of 90.00, 124.60 and 90.00 degrees. The distinct sites, in fractional coordinates, are K at (0.2414, 0.0367, 0.2504), La at (0.5000, 0.0000, 0.0000), U at (0.0000, 0.0000, 0.5000), Se at (0.1713, 0.2243, 0.9734), Se at (0.2536, 0.6984, 0.9761) and Se at (0.2849, 0.0114, 0.7376).



No. 8
Zr2SbCl: relaxed, PBE-GGA.

The total energy is -6.247 eV per atom. The total magnetization is 0.000 μB per atom. The value obtained for the volume is 254.2 Å³/cell. The density comes out at 6.66 g/cm3.

The space group is R-3m (No. 166, hexagonal axes) and the conventional cell measures 3.2825, 3.2825 and 27.2435 Å, with angles of 90.00, 90.00 and 120.00 degrees. The distinct sites, in fractional coordinates, are Zr at (0.0000, 0.0000, 0.2454), Sb at (0.0000, 0.0000, 0.0000) and Cl at (0.0000, 0.0000, 0.5000).



No. 9
Pu2Cd6Pd3: relaxed, PBE-GGA.

The total energy is -4.694 eV per atom. The total magnetization is 1.031 μB per atom. The value obtained for the volume is 254.9 Å³/cell. The energy relative to the elements is -0.173 eV/atom. The density comes out at 9.65 g/cm3.

The space group is P-62m (No. 189) and the conventional cell measures 8.2639, 8.2639 and 4.3092 Å, with angles of 90.00, 90.00 and 120.00 degrees. The distinct sites, in fractional coordinates, are Pu at (0.3333, 0.6667, 0.0000), Cd at (0.0000, 0.2043, 0.0000), Cd at (0.0000, 0.7203, 0.5000) and Pd at (0.0000, 0.3996, 0.5000).



No. 10
BaTcS3: relaxed, PBE-GGA.

The total energy is -5.908 eV per atom. The total magnetization is 0.000 μB per atom. The value obtained for the volume is 487.6 Å³/cell. The density comes out at 4.52 g/cm3.

The space group is P2_1/c (No. 14) and the conventional cell measures 6.4566, 6.5725 and 11.6278 Å, with angles of 90.00, 98.83 and 90.00 degrees. The distinct sites, in fractional coordinates, are Ba at (0.1452, 0.2306, 0.1502), Tc at (0.4049, 0.7447, 0.0299), S at (0.1171, 0.7266, 0.1156), S at (0.3283, 0.0318, 0.9031) and S at (0.4057, 0.5345, 0.8727).



No. 11
Np2UAs3: relaxed, PBE-GGA.

The total energy is -9.217 eV per atom. The total magnetization is 1.716 μB per atom. The value obtained for the volume is 293.2 Å³/cell. The energy relative to the elements is -0.698 eV/atom. The density comes out at 10.61 g/cm3.

The space group is Immm (No. 71) and the conventional cell measures 4.1088, 5.8012 and 12.2986 Å, with angles of 90.00, 90.00 and 90.00 degrees. The distinct sites, in fractional coordinates, are Np at (0.0000, 0.0000, 0.1670), U at (0.0000, 0.0000, 0.5000), As at (0.0000, 0.5000, 0.1659) and As at (0.0000, 0.5000, 0.5000).



No. 12
SrInPtAu: relaxed, PBE-GGA.

The total energy is -3.929 eV per atom. The total magnetization is 0.000 μB per atom. The value obtained for the volume is 364.1 Å³/cell. The energy relative to the elements is -0.494 eV/atom. The density comes out at 10.84 g/cm3.

The space group is F-43m (No. 216) and the conventional cell measures 7.1407, 7.1407 and 7.1407 Å, with angles of 90.00, 90.00 and 90.00 degrees. The distinct sites, in fractional coordinates, are Sr at (0.0000, 0.0000, 0.0000), In at (0.0000, 0.0000, 0.5000), Pt at (0.2500, 0.2500, 0.7500) and Au at (0.2500, 0.2500, 0.2500).



No. 13
In2MoIr: relaxed, PBE-GGA.

The total energy is -5.978 eV per atom. The total magnetization is 0.564 μB per atom. The value obtained for the volume is 287.3 Å³/cell. The energy relative to the elements is 0.315 eV/atom. The density comes out at 11.97 g/cm3.

The space group is Fm-3m (No. 225) and the conventional cell measures 6.5982, 6.5982 and 6.5982 Å, with angles of 90.00, 90.00 and 90.00 degrees. The distinct sites, in fractional coordinates, are In at (0.2500, 0.2500, 0.2500), Mo at (0.0000, 0.0000, 0.0000) and Ir at (0.0000, 0.0000, 0.5000).